VASP calculation (PBE-GGA) on crystalline DyPaTlGa at its relaxed geometry.

The calculation puts the energy at -4.941 eV/atom. The value obtained for the total magnetic moment is 0.33 μB/atom. The value obtained for the formation energy is -27 kJ/mol of formula units.

The space group is F-43m (No. 216) and the conventional cell measures 7.397, 7.397 and 7.397 Å, with angles of 90.00, 90.00 and 90.00 degrees. The distinct sites, in fractional coordinates, are Dy at (0.000, 0.000, 0.000), Pa at (0.000, 0.000, 0.500), Tl at (0.250, 0.250, 0.250) and Ga at (0.250, 0.250, 0.750).

***

VASP calculation (PBE-GGA) on crystalline DyPaZnGa at its relaxed geometry.

The calculation puts the energy at -4.786 eV/atom. The value obtained for the total magnetic moment is 0.16 μB/atom. The value obtained for the formation energy is -72 kJ/mol of formula units.

The space group is F-43m (No. 216) and the conventional cell measures 7.108, 7.108 and 7.108 Å, with angles of 90.00, 90.00 and 90.00 degrees. The distinct sites, in fractional coordinates, are Dy at (0.000, 0.000, 0.000), Pa at (0.000, 0.000, 0.500), Zn at (0.250, 0.250, 0.750) and Ga at (0.250, 0.250, 0.250).

***

VASP calculation (PBE-GGA) on crystalline Dy2GaPb at its relaxed geometry.

The calculation puts the energy at -4.446 eV/atom. The value obtained for the total magnetic moment is 0.00 μB/atom. The value obtained for the formation energy is -178 kJ/mol of formula units.

The space group is P4/mmm (No. 123) and the conventional cell measures 4.912, 4.912 and 4.239 Å, with angles of 90.00, 90.00 and 90.00 degrees. The distinct sites, in fractional coordinates, are Dy at (0.000, 0.500, 0.000), Ga at (0.000, 0.000, 0.500) and Pb at (0.500, 0.500, 0.500).

***

VASP calculation (PBE-GGA) on crystalline Dy12Ga6Pb at its relaxed geometry.

The calculation puts the energy at -4.454 eV/atom. The value obtained for the total magnetic moment is 0.00 μB/atom. The value obtained for the formation energy is -726 kJ/mol of formula units.

The space group is Im-3 (No. 204) and the conventional cell measures 10.094, 10.094 and 10.094 Å, with angles of 90.00, 90.00 and 90.00 degrees. The distinct sites, in fractional coordinates, are Dy at (0.000, 0.296, 0.189), Ga at (0.000, 0.122, 0.500) and Pb at (0.000, 0.000, 0.000).

***

VASP calculation (PBE-GGA) on crystalline Dy5GaPb4 at its relaxed geometry.

The calculation puts the energy at -4.385 eV/atom. The value obtained for the total magnetic moment is 0.00 μB/atom. The value obtained for the formation energy is -287 kJ/mol of formula units.

The space group is I4 (No. 79) and the conventional cell measures 9.836, 9.836 and 6.234 Å, with angles of 90.00, 90.00 and 90.00 degrees. The distinct sites, in fractional coordinates, are Dy at (0.000, 0.000, 0.000), Dy at (0.102, 0.713, 0.484), Ga at (0.000, 0.000, 0.503) and Pb at (0.091, 0.694, 0.983).

***

VASP calculation (PBE-GGA) on crystalline Dy3Ga2Pb2 at its relaxed geometry.

The calculation puts the energy at -4.407 eV/atom. The value obtained for the total magnetic moment is 0.00 μB/atom. The value obtained for the formation energy is -344 kJ/mol of formula units.

The space group is C2/m (No. 12) and the conventional cell measures 11.354, 4.377 and 7.871 Å, with angles of 90.00, 112.65 and 90.00 degrees. The distinct sites, in fractional coordinates, are Dy at (0.000, 0.000, 0.000), Dy at (0.172, 0.000, 0.641), Ga at (0.213, 0.500, 0.917) and Pb at (0.046, 0.500, 0.324).

***

VASP calculation (PBE-GGA) on crystalline Dy2GaPb at its relaxed geometry.

The calculation puts the energy at -4.437 eV/atom. The value obtained for the total magnetic moment is 0.00 μB/atom. The value obtained for the formation energy is -174 kJ/mol of formula units.

The space group is Cmcm (No. 63) and the conventional cell measures 4.453, 23.443 and 4.239 Å, with angles of 90.00, 90.00 and 90.00 degrees. The distinct sites, in fractional coordinates, are Dy at (0.000, 0.061, 0.250), Dy at (0.000, 0.329, 0.250), Ga at (0.000, 0.465, 0.250) and Pb at (0.000, 0.193, 0.250).

***

VASP calculation (PBE-GGA) on crystalline Dy2GaPb at its relaxed geometry.

The calculation puts the energy at -4.391 eV/atom. The value obtained for the total magnetic moment is 0.00 μB/atom. The value obtained for the formation energy is -157 kJ/mol of formula units.

The space group is R-3m (No. 166, hexagonal axes) and the conventional cell measures 3.7046, 3.7046 and 27.6625 Å, with angles of 90.00, 90.00 and 120.00 degrees. The distinct sites, in fractional coordinates, are Dy at (0.0000, 0.0000, 0.2408), Ga at (0.0000, 0.0000, 0.5000) and Pb at (0.0000, 0.0000, 0.0000).